Entry 1:
CsRbHCl2: optimized geometry, PBE-GGA.

POSCAR file:
```
CsRbHCl2
1.0
4.4346 0.0000 0.0000
0.0000 5.4015 0.0000
-0.1337 0.0000 6.8721
Cs Rb H Cl
1 1 1 2
Direct
0.0000 0.0000 0.0000 Cs
0.5285 0.5000 0.5003 Rb
0.5409 0.0000 0.5007 H
0.0400 0.0000 0.5005 Cl
0.5026 0.5000 0.0003 Cl
```

The electronic total energy comes out at -2.88 eV/atom. The size of the total moment is 0.1 μB/f.u. Its space-group type is Pm, No. 6. The density is 2.93 g cm⁻³.

Entry 2:
Li3LaPt2: optimized geometry, PBE-GGA.

POSCAR file:
```
Li3LaPt2
1.0
7.4058 -2.0656 0.0000
7.4058 2.0656 0.0000
-3.5390 0.0000 7.2734
Li La Pt
6 2 4
Direct
0.0594 0.0594 0.3957 Li
0.3024 0.3024 0.5072 Li
0.4096 0.4096 0.3260 Li
0.5904 0.5904 0.6740 Li
0.6976 0.6976 0.4928 Li
0.9406 0.9406 0.6043 Li
0.1403 0.1403 0.0424 La
0.8597 0.8597 0.9576 La
0.2106 0.2106 0.7300 Pt
0.4659 0.4659 0.8146 Pt
0.5341 0.5341 0.1854 Pt
0.7894 0.7894 0.2700 Pt
```

The size of the total moment is 0.0 μB/f.u. Its space-group type is C2/m, No. 12. The density is 8.21 g cm⁻³. The value obtained for the formation enthalpy at 0 K is -0.6839 eV per atom.

Entry 3:
KLiPaCl6: optimized geometry, PBE-GGA.

POSCAR file:
```
KLiPaCl6
1.0
6.8550 0.0000 0.0000
-3.4275 5.9366 0.0000
0.0000 0.0000 14.0296
K Li Pa Cl
2 2 2 12
Direct
0.0000 0.0000 0.0000 K
0.0000 0.0000 0.5000 K
0.3333 0.6667 0.2500 Li
0.6667 0.3333 0.7500 Li
0.3333 0.6667 0.7500 Pa
0.6667 0.3333 0.2500 Pa
0.0027 0.3676 0.1429 Cl
0.0027 0.6351 0.3571 Cl
0.3649 0.3676 0.3571 Cl
0.3649 0.9973 0.1429 Cl
0.3676 0.0027 0.6429 Cl
0.3676 0.3649 0.8571 Cl
0.6324 0.6351 0.1429 Cl
0.6324 0.9973 0.3571 Cl
0.6351 0.0027 0.8571 Cl
0.6351 0.6324 0.6429 Cl
0.9973 0.3649 0.6429 Cl
0.9973 0.6324 0.8571 Cl
```

The size of the total moment is 1.0 μB/f.u. Its space-group type is P-31c, No. 163. The density is 2.85 g cm⁻³. As for the formation energy (no corrections): -17.4 eV/f.u.